(1)
DFT (meta-GGA SCAN) results for a crystal of V2PC relaxed with PBEsol.

The value obtained for the electronic total energy is -14.629 eV per atom. The energy relative to the elements is -0.76 eV per atom.

It has space group P6_3/mmc (No. 194), with a = 3.0373 Å, b = 3.0373 Å, c = 10.8135 Å, α = 90.00°, β = 90.00° and γ = 120.00°. The inequivalent atoms are V at (0.3333, 0.6667, 0.0980), P at (0.3333, 0.6667, 0.7500) and C at (0.0000, 0.0000, 0.0000).

=====

(2)
DFT (meta-GGA SCAN) results for a crystal of V4P2C relaxed with PBEsol.

The value obtained for the electronic total energy is -15.242 eV per atom. The energy relative to the elements is -0.83 eV per atom.

It has space group P-62m (No. 189), with a = 9.4480 Å, b = 9.4480 Å, c = 3.1197 Å, α = 90.00°, β = 90.00° and γ = 120.00°. The inequivalent atoms are V at (0.0000, 0.1866, 0.0000), V at (0.0000, 0.4664, 0.0000), V at (0.2074, 0.7558, 0.5000), P at (0.0000, 0.0000, 0.5000), P at (0.0000, 0.7183, 0.0000), P at (0.3333, 0.6667, 0.0000) and C at (0.0000, 0.3307, 0.5000).

=====

(3)
DFT (meta-GGA SCAN) results for a crystal of Zn3PC relaxed with PBEsol.

The value obtained for the electronic total energy is -10.683 eV per atom. The energy relative to the elements is 1.53 eV per atom.

It has space group Pm-3m (No. 221), with a = 4.5043 Å, b = 4.5043 Å, c = 4.5043 Å, α = 90.00°, β = 90.00° and γ = 90.00°. The inequivalent atoms are Zn at (0.0000, 0.0000, 0.5000), P at (0.0000, 0.0000, 0.0000) and C at (0.5000, 0.5000, 0.5000).

=====

(4)
DFT (meta-GGA SCAN) results for a crystal of ZrP3C relaxed with PBEsol.

The value obtained for the electronic total energy is -13.827 eV per atom. The energy relative to the elements is 0.57 eV per atom.

It has space group Pm-3m (No. 221), with a = 4.0696 Å, b = 4.0696 Å, c = 4.0696 Å, α = 90.00°, β = 90.00° and γ = 90.00°. The inequivalent atoms are Zr at (0.0000, 0.0000, 0.0000), P at (0.0000, 0.5000, 0.5000) and C at (0.5000, 0.5000, 0.5000).

=====

(5)
DFT (meta-GGA SCAN) results for a crystal of PaC2 relaxed with PBEsol.

The value obtained for the electronic total energy is -40.206 eV per atom. The energy relative to the elements is -0.25 eV per atom.

It has space group I4/mmm (No. 139), with a = 3.5686 Å, b = 3.5686 Å, c = 6.0869 Å, α = 90.00°, β = 90.00° and γ = 90.00°. The inequivalent atoms are Pa at (0.0000, 0.0000, 0.0000) and C at (0.0000, 0.0000, 0.3877).

=====

(6)
DFT (meta-GGA SCAN) results for a crystal of PaC relaxed with PBEsol.

The value obtained for the electronic total energy is -55.320 eV per atom. The energy relative to the elements is -0.44 eV per atom.

It has space group Fm-3m (No. 225), with a = 5.0355 Å, b = 5.0355 Å, c = 5.0355 Å, α = 90.00°, β = 90.00° and γ = 90.00°. The inequivalent atoms are Pa at (0.0000, 0.0000, 0.0000) and C at (0.0000, 0.0000, 0.5000).

=====

(7)
DFT (meta-GGA SCAN) results for a crystal of PbC7 relaxed with PBEsol.

The value obtained for the electronic total energy is -13.755 eV per atom. The energy relative to the elements is 4.56 eV per atom.

It has space group Fm-3m (No. 225), with a = 6.8268 Å, b = 6.8268 Å, c = 6.8268 Å, α = 90.00°, β = 90.00° and γ = 90.00°. The inequivalent atoms are Pb at (0.0000, 0.0000, 0.0000), C at (0.0000, 0.0000, 0.5000) and C at (0.0000, 0.2500, 0.2500).

=====

(8)
DFT (meta-GGA SCAN) results for a crystal of PbC2 relaxed with PBEsol.

The value obtained for the electronic total energy is -28.692 eV per atom. The energy above the most stable polymorph in this dataset comes out at 2.113 eV/atom. The energy relative to the elements is 3.30 eV per atom.

It has space group P6_3/mmc (No. 194), with a = 4.3689 Å, b = 4.3689 Å, c = 4.8401 Å, α = 90.00°, β = 90.00° and γ = 120.00°. The inequivalent atoms are Pb at (0.3333, 0.6667, 0.2500), C at (0.0000, 0.0000, 0.0000) and C at (0.3333, 0.6667, 0.7500).

=====

(9)
DFT (meta-GGA SCAN) results for a crystal of PbC2 relaxed with PBEsol.

The value obtained for the electronic total energy is -30.805 eV per atom. The energy above the most stable polymorph in this dataset comes out at 0.000 eV/atom. The energy relative to the elements is 1.19 eV per atom.

It has space group C2/m (No. 12), with a = 7.8580 Å, b = 3.8328 Å, c = 7.3089 Å, α = 90.00°, β = 105.93° and γ = 90.00°. The inequivalent atoms are Pb at (0.2406, 0.0000, 0.2642), C at (0.0380, 0.5000, 0.0890) and C at (0.0834, 0.0000, 0.5147).

=====

(10)
DFT (meta-GGA SCAN) results for a crystal of PbC5 relaxed with PBEsol.

The value obtained for the electronic total energy is -17.623 eV per atom. The energy relative to the elements is 3.42 eV per atom.

It has space group P6/mmm (No. 191), with a = 4.9155 Å, b = 4.9155 Å, c = 2.5952 Å, α = 90.00°, β = 90.00° and γ = 120.00°. The inequivalent atoms are Pb at (0.0000, 0.0000, 0.0000), C at (0.0000, 0.5000, 0.5000) and C at (0.3333, 0.6667, 0.0000).

=====

(11)
DFT (meta-GGA SCAN) results for a crystal of PbC2 relaxed with PBEsol.

The value obtained for the electronic total energy is -28.557 eV per atom. The energy above the most stable polymorph in this dataset comes out at 2.248 eV/atom. The energy relative to the elements is 3.44 eV per atom.

It has space group P4/mmm (No. 123), with a = 3.4062 Å, b = 3.4062 Å, c = 4.6189 Å, α = 90.00°, β = 90.00° and γ = 90.00°. The inequivalent atoms are Pb at (0.0000, 0.0000, 0.0000), C at (0.0000, 0.0000, 0.5000) and C at (0.5000, 0.5000, 0.0000).

=====

(12)
DFT (meta-GGA SCAN) results for a crystal of PbC2 relaxed with PBEsol.

The value obtained for the electronic total energy is -29.250 eV per atom. The energy above the most stable polymorph in this dataset comes out at 1.555 eV/atom. The energy relative to the elements is 2.74 eV per atom.

It has space group P4/mmm (No. 123), with a = 2.7335 Å, b = 2.7335 Å, c = 5.0807 Å, α = 90.00°, β = 90.00° and γ = 90.00°. The inequivalent atoms are Pb at (0.0000, 0.0000, 0.0000) and C at (0.0000, 0.5000, 0.5000).

=====

(13)
DFT (meta-GGA SCAN) results for a crystal of PbC2 relaxed with PBEsol.

The value obtained for the electronic total energy is -28.654 eV per atom. The energy above the most stable polymorph in this dataset comes out at 2.150 eV/atom. The energy relative to the elements is 3.34 eV per atom.

It has space group Fd-3m (No. 227, origin choice 2), with a = 6.8790 Å, b = 6.8790 Å, c = 6.8790 Å, α = 90.00°, β = 90.00° and γ = 90.00°. The inequivalent atoms are Pb at (0.1250, 0.1250, 0.1250) and C at (0.0000, 0.0000, 0.5000).

=====

(14)
DFT (meta-GGA SCAN) results for a crystal of PbC3 relaxed with PBEsol.

The value obtained for the electronic total energy is -22.669 eV per atom. The energy above the most stable polymorph in this dataset comes out at 0.000 eV/atom. The energy relative to the elements is 3.85 eV per atom.

It has space group P4/mmm (No. 123), with a = 3.8207 Å, b = 3.8207 Å, c = 3.3125 Å, α = 90.00°, β = 90.00° and γ = 90.00°. The inequivalent atoms are Pb at (0.0000, 0.0000, 0.0000), C at (0.0000, 0.5000, 0.5000) and C at (0.5000, 0.5000, 0.0000).

=====

(15)
DFT (meta-GGA SCAN) results for a crystal of PbC3 relaxed with PBEsol.

The value obtained for the electronic total energy is -21.838 eV per atom. The energy above the most stable polymorph in this dataset comes out at 0.832 eV/atom. The energy relative to the elements is 4.68 eV per atom.

It has space group Pm-3m (No. 221), with a = 4.5301 Å, b = 4.5301 Å, c = 4.5301 Å, α = 90.00°, β = 90.00° and γ = 90.00°. The inequivalent atoms are Pb at (0.0000, 0.0000, 0.0000) and C at (0.0000, 0.0000, 0.5000).

=====

(16)
DFT (meta-GGA SCAN) results for a crystal of Re2PdPbC relaxed with PBEsol.

The value obtained for the electronic total energy is -51.235 eV per atom. The energy relative to the elements is 0.93 eV per atom.

It has space group P4/mmm (No. 123), with a = 3.9944 Å, b = 3.9944 Å, c = 4.9957 Å, α = 90.00°, β = 90.00° and γ = 90.00°. The inequivalent atoms are Re at (0.0000, 0.5000, 0.0000), Pd at (0.0000, 0.0000, 0.5000), Pb at (0.5000, 0.5000, 0.5000) and C at (0.5000, 0.5000, 0.0000).

=====

(17)
DFT (meta-GGA SCAN) results for a crystal of TaPd2PbC relaxed with PBEsol.

The value obtained for the electronic total energy is -42.636 eV per atom. The energy relative to the elements is 0.97 eV per atom.

It has space group P4/mmm (No. 123), with a = 4.9545 Å, b = 4.9545 Å, c = 4.0706 Å, α = 90.00°, β = 90.00° and γ = 90.00°. The inequivalent atoms are Ta at (0.0000, 0.0000, 0.0000), Pd at (0.0000, 0.5000, 0.0000), Pb at (0.5000, 0.5000, 0.5000) and C at (0.0000, 0.0000, 0.5000).

=====

(18)
DFT (meta-GGA SCAN) results for a crystal of PtPb3C relaxed with PBEsol.

The value obtained for the electronic total energy is -60.141 eV per atom. The energy relative to the elements is 1.39 eV per atom.

It has space group Pm-3m (No. 221), with a = 5.2770 Å, b = 5.2770 Å, c = 5.2770 Å, α = 90.00°, β = 90.00° and γ = 90.00°. The inequivalent atoms are Pt at (0.0000, 0.0000, 0.0000), Pb at (0.0000, 0.0000, 0.5000) and C at (0.5000, 0.5000, 0.5000).

=====

(19)
DFT (meta-GGA SCAN) results for a crystal of Rh3PbC relaxed with PBEsol.

The value obtained for the electronic total energy is -34.490 eV per atom. The energy relative to the elements is 2.95 eV per atom.

It has space group Pm-3m (No. 221), with a = 4.8916 Å, b = 4.8916 Å, c = 4.8916 Å, α = 90.00°, β = 90.00° and γ = 90.00°. The inequivalent atoms are Rh at (0.0000, 0.0000, 0.5000), Pb at (0.0000, 0.0000, 0.0000) and C at (0.5000, 0.5000, 0.5000).

=====

(20)
DFT (meta-GGA SCAN) results for a crystal of TeRuPbC2 relaxed with PBEsol.

The value obtained for the electronic total energy is -32.234 eV per atom. Its formation energy (no corrections) is 1.377 eV per atom.

It has space group P4/mmm (No. 123), with a = 4.0772 Å, b = 4.0772 Å, c = 5.5556 Å, α = 90.00°, β = 90.00° and γ = 90.00°. The inequivalent atoms are Te at (0.0000, 0.0000, 0.0000), Ru at (0.0000, 0.0000, 0.5000), Pb at (0.5000, 0.5000, 0.0000) and C at (0.0000, 0.5000, 0.5000).